The following is a DFT calculation (PBE) of a geometry-optimized Sm8GaTe4P3 structure.

Summary:
**Uncorrected formation energy**: -1.42 eV/atom
**DOS at the Fermi energy**: 15.27 states/eV per cell
**Calculated total energy**: -5.772 eV per atom

CIF file:
```
data_Sm8GaTe4P3
_cell_length_a 8.4916
_cell_length_b 8.4916
_cell_length_c 21.5968
_cell_angle_alpha 90.00
_cell_angle_beta 90.00
_cell_angle_gamma 120.00
_space_group_name_H-M_alt 'R -3 m'
_space_group_IT_number 166
_space_group_name_Hall '-R 3 2"'
loop_
_atom_site_label
_atom_site_type_symbol
_atom_site_fract_x
_atom_site_fract_y
_atom_site_fract_z
_atom_site_occupancy
Sm1 Sm 0.0000 0.0000 0.2374 1
Sm2 Sm 0.0030 0.5015 0.7601 1
Ga1 Ga 0.0000 0.0000 0.5000 1
Te1 Te 0.0000 0.0000 0.0000 1
Te2 Te 0.0000 0.5000 0.0000 1
P1 P 0.0000 0.5000 0.5000 1
```